1.
Density functional theory data (PBE-GGA) for a relaxed PmThZnCu crystal.

Structure (extended XYZ):
```
4
Lattice="0.000 3.619 3.619 3.619 0.000 3.619 3.619 3.619 0.000" Properties=species:S:1:pos:R:3 pbc="T T T"
Pm 0.000 0.000 0.000
Th 3.619 3.619 3.619
Zn 5.428 5.428 5.428
Cu 1.809 1.809 1.809
```

ΔH_f (0 K), meV/atom: -144



2.
Density functional theory data (PBE-GGA) for a relaxed BiTeAuI2 crystal.

Structure (extended XYZ):
```
5
Lattice="6.003 0.000 0.000 0.000 6.003 0.000 0.000 0.000 6.182" Properties=species:S:1:pos:R:3 pbc="T T T"
Bi 0.000 0.000 0.000
Te 0.000 0.000 3.091
Au 3.001 3.001 3.091
I 0.000 3.001 0.000
I 3.001 0.000 0.000
```

E above lowest polymorph, meV/atom: 202.8
Energy relative to the elements, uncorrected, eV per atom: 0.514



3.
Density functional theory data (PBE-GGA) for a relaxed IrRu2Cl crystal.

Structure (extended XYZ):
```
4
Lattice="2.779 0.000 0.000 0.000 2.779 0.000 0.000 0.000 8.282" Properties=species:S:1:pos:R:3 pbc="T T T"
Ir 0.000 0.000 0.000
Ru 0.000 0.000 3.624
Ru 1.389 1.389 1.845
Cl 1.389 1.389 5.348
```

E above lowest polymorph, meV/atom: 95.6
Energy relative to the elements, uncorrected, eV per atom: 0.494



4.
Density functional theory data (PBE-GGA) for a relaxed In12Sn5Pb3 crystal.

Structure (extended XYZ):
```
80
Lattice="-8.818 8.818 8.818 8.818 -8.818 8.818 8.818 8.818 -8.818" Properties=species:S:1:pos:R:3 pbc="T T T"
In 2.680 -0.289 1.330
In 10.546 5.739 -4.698
In 8.528 -1.330 2.680
In 13.516 -1.729 3.079
In 11.498 0.289 1.330
In 10.546 -3.079 4.698
In 1.330 2.680 -0.289
In 11.896 4.119 -1.729
In 5.739 4.698 -1.729
In 7.487 2.680 0.289
In -0.289 1.330 2.680
In 4.698 -1.729 5.739
In 8.528 7.487 -2.680
In 4.698 1.729 3.079
In 7.487 -2.680 8.528
In 5.739 -4.698 10.546
In 3.079 4.698 1.729
In 10.148 6.138 0.289
In 2.680 8.528 -1.330
In 10.546 3.079 4.119
In 4.698 10.546 -3.079
In 8.528 1.330 6.138
In 1.729 3.079 4.698
In 2.680 0.289 7.487
In 6.138 8.528 1.330
In 7.089 5.739 4.119
In 0.289 7.487 2.680
In 4.119 -1.729 11.896
In -1.729 5.739 4.698
In 6.138 0.289 10.148
In -1.330 2.680 8.528
In 5.739 4.119 7.089
In 3.079 13.516 -1.729
In 1.330 11.498 0.289
In 4.119 7.089 5.739
In 0.289 1.330 11.498
In 4.119 10.546 3.079
In 9.107 7.487 6.138
In 1.330 6.138 8.528
In 3.079 4.119 10.546
In -3.079 4.698 10.546
In 7.487 6.138 9.107
In -1.729 11.896 4.119
In -2.680 8.528 7.487
In -4.698 10.546 5.739
In 0.289 10.148 6.138
In -1.729 3.079 13.516
In 6.138 9.107 7.487
Sn 0.000 0.000 0.000
Sn 4.409 4.409 -4.409
Sn 4.409 -4.409 4.409
Sn 8.818 0.000 0.000
Sn 13.226 2.204 0.000
Sn 8.818 -4.409 6.613
Sn 6.613 8.818 -4.409
Sn 6.613 0.000 4.409
Sn 4.409 6.613 0.000
Sn 8.818 4.409 2.204
Sn -4.409 4.409 4.409
Sn 0.000 8.818 0.000
Sn 0.000 0.000 8.818
Sn 4.409 4.409 4.409
Sn 0.000 4.409 6.613
Sn 4.409 2.204 8.818
Sn 2.204 8.818 4.409
Sn 2.204 0.000 13.226
Sn 0.000 13.226 2.204
Sn -4.409 6.613 8.818
Pb 4.409 2.204 0.000
Pb 8.818 4.409 -2.204
Pb 2.204 0.000 4.409
Pb 11.022 0.000 4.409
Pb 0.000 4.409 2.204
Pb 4.409 -2.204 8.818
Pb 4.409 11.022 0.000
Pb 8.818 4.409 6.613
Pb -2.204 8.818 4.409
Pb 6.613 8.818 4.409
Pb 0.000 4.409 11.022
Pb 4.409 6.613 8.818
```

ΔH_f (0 K), meV/atom: 173



5.
Density functional theory data (PBE-GGA) for a relaxed CoBi3C crystal.

Structure (extended XYZ):
```
5
Lattice="5.018 0.000 0.000 0.000 5.018 0.000 0.000 0.000 5.018" Properties=species:S:1:pos:R:3 pbc="T T T"
Co 0.000 0.000 0.000
Bi 0.000 0.000 2.509
Bi 0.000 2.509 0.000
Bi 2.509 0.000 0.000
C 2.509 2.509 2.509
```

E above lowest polymorph, meV/atom: 196.6
ΔH_f (0 K), meV/atom: 1538



6.
Density functional theory data (PBE-GGA) for a relaxed In2OsAu crystal.

Structure (extended XYZ):
```
4
Lattice="4.299 0.000 0.000 0.000 4.299 0.000 0.000 0.000 3.964" Properties=species:S:1:pos:R:3 pbc="T T T"
In 0.000 2.149 0.000
In 2.149 0.000 0.000
Os 0.000 0.000 1.982
Au 2.149 2.149 1.982
```

ΔH_f (0 K), meV/atom: 336



7.
Density functional theory data (PBE-GGA) for a relaxed AlCd2Cu crystal.

Structure (extended XYZ):
```
4
Lattice="2.987 0.000 0.000 0.000 2.987 0.000 0.000 0.000 8.262" Properties=species:S:1:pos:R:3 pbc="T T T"
Al 0.000 0.000 0.000
Cd 1.493 1.493 2.249
Cd 1.493 1.493 6.014
Cu 0.000 0.000 4.131
```

ΔH_f (0 K), meV/atom: 133



8.
Density functional theory data (PBE-GGA) for a relaxed Ce3Y2ThS6 crystal.

Structure (extended XYZ):
```
12
Lattice="8.704 -1.992 0.000 8.704 1.992 0.000 -1.835 0.000 7.792" Properties=species:S:1:pos:R:3 pbc="T T T"
Ce 0.000 0.000 0.000
Ce 4.613 0.000 5.191
Ce 10.959 0.000 2.601
Y 5.494 0.000 1.298
Y 10.078 0.000 6.494
Th -0.918 0.000 3.896
S 2.802 0.000 0.609
S 1.846 0.000 4.618
S 8.186 0.000 1.913
S 7.386 0.000 5.879
S 13.726 0.000 3.174
S 12.770 0.000 7.183
```

Energy relative to the elements, uncorrected, eV per atom: -2.000



9.
Density functional theory data (PBE-GGA) for a relaxed KCd2Cu crystal.

Structure (extended XYZ):
```
4
Lattice="3.108 -5.398 0.000 3.108 5.398 0.000 0.000 0.000 3.020" Properties=species:S:1:pos:R:3 pbc="T T T"
K 0.000 0.000 0.000
Cd 1.554 2.699 1.510
Cd 1.554 -2.699 1.510
Cu 3.108 0.000 0.000
```

E above lowest polymorph, meV/atom: 323.7
ΔH_f (0 K), meV/atom: 355



10.
Density functional theory data (PBE-GGA) for a relaxed ScZnGa crystal.

Structure (extended XYZ):
```
6
Lattice="4.935 -1.986 0.000 4.935 1.986 0.000 -0.013 0.000 5.497" Properties=species:S:1:pos:R:3 pbc="T T T"
Sc 0.000 0.000 0.000
Sc 6.001 0.000 2.863
Zn 3.016 0.000 1.431
Zn 8.997 0.000 2.722
Ga 3.020 0.000 4.178
Ga 6.875 0.000 0.134
```

ΔH_f (0 K), meV/atom: -414



11.
Density functional theory data (PBE-GGA) for a relaxed BeRu5 crystal.

Structure (extended XYZ):
```
6
Lattice="4.878 0.000 0.000 -2.439 4.224 0.000 0.000 0.000 4.579" Properties=species:S:1:pos:R:3 pbc="T T T"
Be 0.000 0.000 0.000
Ru -1.219 2.112 2.290
Ru 0.000 2.816 0.000
Ru 2.439 0.000 2.290
Ru 1.219 2.112 2.290
Ru 2.439 1.408 0.000
```

E above lowest polymorph, meV/atom: 873.1
ΔH_f (0 K), meV/atom: 847



12.
Density functional theory data (PBE-GGA) for a relaxed CsMo3Pd crystal.

Structure (extended XYZ):
```
5
Lattice="5.012 0.000 0.000 0.000 5.012 0.000 0.000 0.000 5.012" Properties=species:S:1:pos:R:3 pbc="T T T"
Cs 0.000 0.000 0.000
Mo 0.000 2.506 2.506
Mo 2.506 0.000 2.506
Mo 2.506 2.506 0.000
Pd 2.506 2.506 2.506
```

E above lowest polymorph, meV/atom: 0.0
ΔH_f (0 K), meV/atom: 2189



13.
Density functional theory data (PBE-GGA) for a relaxed NbBiTeN2 crystal.

Structure (extended XYZ):
```
5
Lattice="4.326 0.000 0.000 0.000 4.326 0.000 0.000 0.000 6.162" Properties=species:S:1:pos:R:3 pbc="T T T"
Nb 0.000 0.000 0.000
Bi 2.163 2.163 3.081
Te 2.163 2.163 0.000
N 0.000 2.163 3.081
N 2.163 0.000 3.081
```

E above lowest polymorph, meV/atom: 1290.1
Energy relative to the elements, uncorrected, eV per atom: 1.794



14.
Density functional theory data (PBE-GGA) for a relaxed ZrSiAu4 crystal.

Structure (extended XYZ):
```
6
Lattice="0.000 3.879 3.879 3.879 0.000 3.879 3.879 3.879 0.000" Properties=species:S:1:pos:R:3 pbc="T T T"
Zr 0.000 0.000 0.000
Si 1.940 1.940 1.940
Au 4.850 2.909 2.909
Au 2.909 4.850 2.909
Au 2.909 2.909 4.850
Au 4.850 4.850 4.850
```

Energy relative to the elements, uncorrected, eV per atom: 0.121



15.
Density functional theory data (PBE-GGA) for a relaxed Pr2ScGa3Au4 crystal.

Structure (extended XYZ):
```
10
Lattice="4.386 0.000 0.000 0.000 4.386 0.000 0.000 0.000 11.331" Properties=species:S:1:pos:R:3 pbc="T T T"
Pr 0.000 2.193 2.581
Pr 2.193 0.000 8.750
Sc 0.000 0.000 5.665
Ga 0.000 2.193 9.861
Ga 2.193 0.000 1.469
Ga 2.193 2.193 5.665
Au 0.000 0.000 0.000
Au 0.000 2.193 7.328
Au 2.193 0.000 4.003
Au 2.193 2.193 0.000
```

ΔH_f (0 K), meV/atom: -675



16.
Density functional theory data (PBE-GGA) for a relaxed KAcCdIn crystal.

Structure (extended XYZ):
```
4
Lattice="0.000 4.106 4.106 4.106 0.000 4.106 4.106 4.106 0.000" Properties=species:S:1:pos:R:3 pbc="T T T"
K 0.000 0.000 0.000
Ac 4.106 4.106 4.106
Cd 2.053 2.053 2.053
In 6.159 6.159 6.159
```

ΔH_f (0 K), meV/atom: -130



17.
Density functional theory data (PBE-GGA) for a relaxed Li2Te2N crystal.

Structure (extended XYZ):
```
5
Lattice="-2.858 2.858 3.688 2.858 -2.858 3.688 2.858 2.858 -3.688" Properties=species:S:1:pos:R:3 pbc="T T T"
Li 2.858 0.000 1.844
Li 0.000 2.858 1.844
Te 0.000 0.000 1.602
Te 0.000 0.000 5.774
N 0.000 0.000 3.688
```

E above lowest polymorph, meV/atom: 0.0
Energy relative to the elements, uncorrected, eV per atom: 0.212



18.
Density functional theory data (PBE-GGA) for a relaxed KCdGe crystal.

Structure (extended XYZ):
```
3
Lattice="4.904 0.000 0.000 -2.452 4.247 0.000 0.000 0.000 4.090" Properties=species:S:1:pos:R:3 pbc="T T T"
K 0.000 0.000 0.000
Cd 2.452 1.416 2.045
Ge 0.000 2.832 2.045
```

E above lowest polymorph, meV/atom: 57.6
ΔH_f (0 K), meV/atom: -14



19.
Density functional theory data (PBE-GGA) for a relaxed Mg17Al11Sn crystal.

Structure (extended XYZ):
```
29
Lattice="5.297 -7.496 0.000 5.297 7.496 0.000 -5.296 0.000 7.489" Properties=species:S:1:pos:R:3 pbc="T T T"
Mg 0.000 0.000 0.000
Mg 3.460 -2.623 7.468
Mg -3.495 0.000 4.961
Mg 1.455 5.088 3.051
Mg 1.499 2.377 4.540
Mg 3.738 3.003 2.386
Mg -0.472 0.000 5.382
Mg 1.739 0.000 2.602
Mg 5.665 2.204 0.000
Mg 3.747 4.524 5.131
Mg 4.719 0.000 2.157
Mg 1.499 -2.377 4.540
Mg 3.460 2.623 7.468
Mg 1.455 -5.088 3.051
Mg 5.665 -2.204 0.000
Mg 3.738 -3.003 2.386
Mg 3.747 -4.524 5.131
Al -0.943 1.408 2.797
Al 0.950 4.759 6.123
Al 2.893 1.355 0.026
Al -0.943 -1.408 2.797
Al 6.227 4.753 1.398
Al 2.893 -1.355 0.026
Al 2.343 0.000 6.002
Al 4.335 1.401 4.761
Al 0.950 -4.759 6.123
Al 4.335 -1.401 4.761
Al 6.227 -4.753 1.398
Sn 7.567 0.000 1.342
```

ΔH_f (0 K), meV/atom: -32



20.
Density functional theory data (PBE-GGA) for a relaxed Li2CaNiH crystal.

Structure (extended XYZ):
```
5
Lattice="3.965 0.000 0.000 0.000 3.965 0.000 0.000 0.000 4.753" Properties=species:S:1:pos:R:3 pbc="T T T"
Li 0.000 1.983 0.000
Li 1.983 0.000 0.000
Ca 0.000 0.000 2.377
Ni 1.983 1.983 2.377
H 0.000 0.000 0.000
```



Going through the records in order, we get E_tot values of -4.53; -2.17; -6.82; -3.03; -4.06; -4.66; -2.28; -7.24; -1.40; -3.96; -7.50; -5.52; -4.95; -4.39; -4.48; -2.34; -3.48; -2.22; -2.52; -3.06 eV per atom.